The following is a PBE-GGA calculation of crystalline AlAs2HS at its relaxed geometry, from Alexandria via LeMat-Bulk.

Unit cell a=5.006 b=5.006 c=3.261 alpha=90.00 beta=90.00 gamma=90.00
Space group P4/mmm (No. 123)
One atom of each set of equivalent atoms:
Al: 0.000 0.000 0.000 [1 per cell]
As: 0.000 0.500 0.000 [2 per cell]
H: 0.000 0.000 0.500 [1 per cell]
S: 0.500 0.500 0.500 [1 per cell]

Properties
The total energy comes out at -19.00 eV for the cell shown.